(1)
Below is a PBEsol-optimized structure of LiZrCo4, with properties calculated at the SCAN level.

Cell: 4.6925 4.6925 4.6925 Å, 60.00 60.00 60.00°
Atoms (fractional coordinates):
Li (0.0000, 0.0000, 0.0000)
Zr (0.2500, 0.2500, 0.2500)
Co (0.1238, 0.6254, 0.6254)
Co (0.6254, 0.1238, 0.6254)
Co (0.6254, 0.6254, 0.1238)
Co (0.6254, 0.6254, 0.6254)

Properties
Total moment: 4.85 μB per formula unit
Calculated total energy: -17.150 eV/atom
DOS at the Fermi energy: 0.963 states/eV per atom
Theoretical density: 7.59 g/cm3

***

(2)
Below is a PBEsol-optimized structure of MnFe2W, with properties calculated at the SCAN level.

Cell: 3.0145 3.9543 4.0235 Å, 90.00 90.00 90.00°
Atoms (fractional coordinates):
Mn (0.0000, 0.0000, 0.0000)
Fe (0.0000, 0.5000, 0.5000)
Fe (0.5000, 0.0000, 0.5000)
W (0.5000, 0.5000, 0.0000)

Properties
Total moment: 5.10 μB per formula unit
Calculated total energy: -30.981 eV/atom
DOS at the Fermi energy: 0.399 states/eV per atom
Excess energy over the best structure of this formula in the dataset: 0.065 eV per atom
Theoretical density: 12.13 g/cm3

***

(3)
Below is a PBEsol-optimized structure of ZnIn7, with properties calculated at the SCAN level.

Cell: 6.4878 6.4878 6.4878 Å, 60.00 60.00 60.00°
Atoms (fractional coordinates):
Zn (0.0000, 0.0000, 0.0000)
In (0.0000, 0.0000, 0.5000)
In (0.0000, 0.5000, 0.0000)
In (0.0000, 0.5000, 0.5000)
In (0.5000, 0.0000, 0.0000)
In (0.5000, 0.0000, 0.5000)
In (0.5000, 0.5000, 0.0000)
In (0.5000, 0.5000, 0.5000)

Properties
Total moment: 0.00 μB per formula unit
Calculated total energy: -30.780 eV/atom
DOS at the Fermi energy: 0.438 states/eV per atom
Theoretical density: 7.47 g/cm3

***

(4)
Below is a PBEsol-optimized structure of CaRu2Au, with properties calculated at the SCAN level.

Cell: 2.8770 2.8770 8.0825 Å, 90.00 90.00 90.00°
Atoms (fractional coordinates):
Ca (0.0000, 0.0000, 0.0000)
Ru (0.0000, 0.0000, 0.4661)
Ru (0.5000, 0.5000, 0.2786)
Au (0.5000, 0.5000, 0.7143)

Properties
Total moment: 0.00 μB per formula unit
Calculated total energy: -37.048 eV/atom
DOS at the Fermi energy: 0.876 states/eV per atom
Excess energy over the best structure of this formula in the dataset: 0.000 eV per atom
Theoretical density: 10.90 g/cm3

***

(5)
Below is a PBEsol-optimized structure of CaIn2Pb, with properties calculated at the SCAN level.

Cell: 3.6293 3.6293 29.8541 Å, 90.00 90.00 120.00°
Atoms (fractional coordinates):
Ca (0.0000, 0.0000, 0.0000)
Ca (0.3333, 0.6667, 0.6667)
Ca (0.6667, 0.3333, 0.3333)
In (0.0000, 0.0000, 0.2490)
In (0.0000, 0.0000, 0.7510)
In (0.3333, 0.6667, 0.4176)
In (0.3333, 0.6667, 0.9157)
In (0.6667, 0.3333, 0.0843)
In (0.6667, 0.3333, 0.5824)
Pb (0.0000, 0.0000, 0.5000)
Pb (0.3333, 0.6667, 0.1667)
Pb (0.6667, 0.3333, 0.8333)

Properties
Total moment: 0.00 μB per formula unit
Calculated total energy: -38.205 eV/atom
DOS at the Fermi energy: 0.483 states/eV per atom
Theoretical density: 6.98 g/cm3

***

(6)
Below is a PBEsol-optimized structure of SrSBr2, with properties calculated at the SCAN level.

Cell: 5.0915 5.0915 20.7458 Å, 90.00 90.00 120.00°
Atoms (fractional coordinates):
Sr (0.0000, 0.0000, 0.0000)
Sr (0.3333, 0.6667, 0.6667)
Sr (0.6667, 0.3333, 0.3333)
S (0.0000, 0.0000, 0.5000)
S (0.3333, 0.6667, 0.1667)
S (0.6667, 0.3333, 0.8333)
Br (0.0000, 0.0000, 0.3812)
Br (0.0000, 0.0000, 0.6188)
Br (0.3333, 0.6667, 0.0478)
Br (0.3333, 0.6667, 0.2855)
Br (0.6667, 0.3333, 0.7145)
Br (0.6667, 0.3333, 0.9522)

Properties
Total moment: 0.00 μB per formula unit
Calculated total energy: -18.723 eV/atom
DOS at the Fermi energy: 0.000 states/eV per atom
Excess energy over the best structure of this formula in the dataset: 0.014 eV per atom
Formation energy (no corrections): -1017 meV/atom
Theoretical density: 2.99 g/cm3

***

(7)
Below is a PBEsol-optimized structure of RbBaRe3, with properties calculated at the SCAN level.

Cell: 5.1829 5.1829 5.1829 Å, 90.00 90.00 90.00°
Atoms (fractional coordinates):
Rb (0.0000, 0.0000, 0.0000)
Ba (0.5000, 0.5000, 0.5000)
Re (0.0000, 0.5000, 0.5000)
Re (0.5000, 0.0000, 0.5000)
Re (0.5000, 0.5000, 0.0000)

Properties
Total moment: 5.31 μB per formula unit
Calculated total energy: -50.926 eV/atom
DOS at the Fermi energy: 0.918 states/eV per atom
Theoretical density: 9.32 g/cm3

***

(8)
Below is a PBEsol-optimized structure of TiAu2IBr, with properties calculated at the SCAN level.

Cell: 4.8527 4.8527 6.9413 Å, 90.00 90.00 90.00°
Atoms (fractional coordinates):
Ti (0.0000, 0.0000, 0.0000)
Au (0.0000, 0.5000, 0.5000)
Au (0.5000, 0.0000, 0.5000)
I (0.5000, 0.5000, 0.0000)
Br (0.5000, 0.5000, 0.5000)

Properties
Total moment: 2.63 μB per formula unit
Calculated total energy: -41.353 eV/atom
DOS at the Fermi energy: 0.657 states/eV per atom
Formation energy (no corrections): 756 meV/atom
Theoretical density: 6.59 g/cm3

***

(9)
Below is a PBEsol-optimized structure of LiRuO2F, with properties calculated at the SCAN level.

Cell: 3.6345 3.6345 3.2258 Å, 90.00 90.00 90.00°
Atoms (fractional coordinates):
Li (0.0000, 0.0000, 0.0000)
Ru (0.5000, 0.5000, 0.5000)
O (0.0000, 0.5000, 0.0000)
O (0.5000, 0.0000, 0.0000)
F (0.0000, 0.0000, 0.5000)

Properties
Total moment: 3.72 μB per formula unit
Calculated total energy: -11.178 eV/atom
DOS at the Fermi energy: 0.495 states/eV per atom
Formation energy (no corrections): -534 meV/atom
Theoretical density: 6.20 g/cm3

***

(10)
Below is a PBEsol-optimized structure of Li4ZnP2S8, with properties calculated at the SCAN level.

Cell: 6.0019 7.9881 18.7227 Å, 90.21 90.07 90.16°
Atoms (fractional coordinates):
Li (0.0000, 0.0000, 0.0000)
Li (0.0010, 0.0038, 0.3511)
Li (0.0058, 0.4887, 0.9993)
Li (0.0120, 0.9804, 0.6629)
Li (0.4951, 0.2498, 0.0501)
Li (0.4990, 0.2328, 0.7166)
Li (0.5007, 0.5023, 0.2111)
Li (0.5057, 0.5044, 0.8676)
Li (0.5068, 0.9954, 0.5297)
Li (0.5083, 0.9941, 0.2167)
Li (0.9930, 0.7545, 0.1637)
Li (0.9988, 0.4982, 0.6734)
Zn (0.0124, 0.4845, 0.3412)
Zn (0.5106, 0.9715, 0.8699)
Zn (0.5149, 0.5053, 0.5418)
P (0.0021, 0.2638, 0.5018)
P (0.0150, 0.2426, 0.1687)
P (0.4984, 0.7274, 0.3784)
P (0.5152, 0.7421, 0.0441)
P (0.5234, 0.7515, 0.7104)
P (0.9966, 0.2297, 0.8312)
S (0.3462, 0.2620, 0.5029)
S (0.3477, 0.2289, 0.8411)
S (0.3558, 0.2445, 0.1696)
S (0.3626, 0.7479, 0.8087)
S (0.3834, 0.7346, 0.4817)
S (0.3881, 0.9426, 0.3355)
S (0.3964, 0.5037, 0.3341)
S (0.4015, 0.7524, 0.1468)
S (0.4029, 0.5302, 0.6633)
S (0.4026, 0.5323, 0.9933)
S (0.4026, 0.9571, 0.9923)
S (0.4120, 0.9569, 0.6564)
S (0.8413, 0.7343, 0.3672)
S (0.8547, 0.7470, 0.7215)
S (0.8556, 0.7439, 0.0423)
S (0.8693, 0.2598, 0.3999)
S (0.8964, 0.0070, 0.8762)
S (0.8977, 0.4433, 0.8779)
S (0.8989, 0.0449, 0.5429)
S (0.9011, 0.2463, 0.0654)
S (0.9009, 0.4848, 0.5482)
S (0.9030, 0.4605, 0.2180)
S (0.9051, 0.0358, 0.2213)
S (0.9112, 0.2314, 0.7258)

Properties
Total moment: 0.00 μB per formula unit
Calculated total energy: -8.995 eV/atom
DOS at the Fermi energy: 0.000 states/eV per atom
Formation energy (no corrections): -935 meV/atom
Theoretical density: 2.28 g/cm3

***

(11)
Below is a PBEsol-optimized structure of Zr2AsC, with properties calculated at the SCAN level.

Cell: 5.7277 5.7277 9.9434 Å, 90.00 90.00 90.00°
Atoms (fractional coordinates):
Zr (0.1802, 0.7500, 0.1250)
Zr (0.2500, 0.1802, 0.8750)
Zr (0.2500, 0.3198, 0.3750)
Zr (0.3198, 0.7500, 0.6250)
Zr (0.6802, 0.2500, 0.6250)
Zr (0.7500, 0.6802, 0.3750)
Zr (0.7500, 0.8198, 0.8750)
Zr (0.8198, 0.2500, 0.1250)
As (0.0000, 0.0000, 0.5000)
As (0.0000, 0.5000, 0.7500)
As (0.5000, 0.0000, 0.2500)
As (0.5000, 0.5000, 0.0000)
C (0.0000, 0.0000, 0.0000)
C (0.0000, 0.5000, 0.2500)
C (0.5000, 0.0000, 0.7500)
C (0.5000, 0.5000, 0.5000)

Properties
Total moment: 0.00 μB per formula unit
Calculated total energy: -23.475 eV/atom
DOS at the Fermi energy: 0.455 states/eV per atom
Theoretical density: 5.48 g/cm3